No. 1
{"formula": "CrIn2Pb", "functional": "PBE", "state": "relaxed", "cell": [[10.497, -0.115, -0.067], [10.001, 3.192, -0.067], [10.001, 1.501, 2.818]], "species": ["Cr", "In", "In", "Pb"], "fractional_positions": [[0.745, 0.745, 0.745], [0.009, 0.009, 0.009], [0.256, 0.256, 0.256], [0.490, 0.490, 0.490]], "total_magnetization_mub_per_cell": 3.95, "final_energy_ev_per_cell": -17.44}

=====

No. 2
{"formula": "Mg2Te", "functional": "PBE", "state": "relaxed", "cell": [[1.980, 5.835, 0.010], [-1.980, 5.835, 0.010], [0.000, 1.599, 6.658]], "species": ["Mg", "Mg", "Mg", "Mg", "Te", "Te"], "fractional_positions": [[0.954, 0.954, 0.012], [0.341, 0.341, 0.363], [0.677, 0.677, 0.680], [0.617, 0.617, 0.250], [0.004, 0.004, 0.569], [0.241, 0.241, 0.959]], "total_magnetization_mub_per_cell": 0.00, "formation_energy_uncorrected_kj_per_mol_fu": -92.4}

=====

No. 3
{"formula": "Ce5IrOs2", "functional": "PBE", "state": "relaxed", "cell": [[5.537, 0.000, 0.000], [-2.769, 6.283, 0.000], [0.000, 0.000, 13.674]], "species": ["Ce", "Ce", "Ce", "Ce", "Ce", "Ce", "Ce", "Ce", "Ce", "Ce", "Ir", "Ir", "Os", "Os", "Os", "Os"], "fractional_positions": [[0.950, 0.900, 0.880], [0.950, 0.900, 0.620], [0.338, 0.676, 0.435], [0.338, 0.676, 0.065], [0.747, 0.494, 0.250], [0.253, 0.506, 0.750], [0.662, 0.324, 0.565], [0.662, 0.324, 0.935], [0.050, 0.100, 0.120], [0.050, 0.100, 0.380], [0.782, 0.563, 0.750], [0.218, 0.437, 0.250], [0.850, 0.699, 0.440], [0.850, 0.699, 0.060], [0.150, 0.301, 0.560], [0.150, 0.301, 0.940]], "e_above_lowest_polymorph_ev_per_fu": 1.32, "total_magnetization_mub_per_cell": 5.59}